The following is a DFT calculation (GGA-PBE) of crystalline KInTeN2 at its relaxed geometry.

Structure (POSCAR):
```
KInTeN2
1.0
4.9842 0.0000 0.0000
0.0000 4.9842 0.0000
0.0000 0.0000 6.9267
K In Te N
1 1 1 2
Direct
0.0000 0.0000 0.0000
0.5000 0.5000 0.5000
0.0000 0.0000 0.5000
0.0000 0.5000 0.0000
0.5000 0.0000 0.0000
```

VASP energy (eV per atom): -2.96
Calculated volume (Å³ per atom): 34.4
Total moment (μB per cell): 5.3
Formation energy without anion corrections (eV per formula unit): 8.816
E above lowest polymorph (meV/atom): 714
Space group: P4/mmm (123)

The following is a DFT calculation (GGA-PBE) of crystalline KNa2In at its relaxed geometry.

Structure (POSCAR):
```
KNa2In
1.0
5.5008 0.0000 0.0000
0.0000 5.5008 0.0000
0.0000 0.0000 4.7486
K Na In
1 2 1
Direct
0.0000 0.0000 0.0000
0.0000 0.5000 0.5000
0.5000 0.0000 0.5000
0.5000 0.5000 0.0000
```

VASP energy (eV per atom): -1.60
Calculated volume (Å³ per atom): 35.9
Total moment (μB per cell): 0.0
Space group: P4/mmm (123)

The following is a DFT calculation (GGA-PBE) of crystalline K3Na9In2 at its relaxed geometry.

Structure (POSCAR):
```
K3Na9In2
1.0
-2.7791 6.9802 7.3584
2.7791 -6.9802 7.3584
2.7791 6.9802 -7.3584
K Na In
3 9 2
Direct
0.0000 0.0000 0.0000
0.3046 0.3046 0.0000
0.6954 0.6954 0.0000
0.0068 0.3661 0.6407
0.1640 0.8768 0.2872
0.2747 0.6339 0.6407
0.4104 0.1232 0.2872
0.5000 0.0000 0.5000
0.5896 0.8768 0.7128
0.7253 0.3661 0.3593
0.8360 0.1232 0.7128
0.9932 0.6339 0.3593
0.3316 0.5000 0.8316
0.6684 0.5000 0.1684
```

VASP energy (eV per atom): -1.47
Calculated volume (Å³ per atom): 40.8
Total moment (μB per cell): 0.0
Space group: Immm (71)

The following is a DFT calculation (GGA-PBE) of crystalline K3Na5In2 at its relaxed geometry.

Structure (POSCAR):
```
K3Na5In2
1.0
12.3874 0.0000 0.0000
0.0000 12.3874 0.0000
0.0000 0.0000 5.3884
K Na In
6 10 4
Direct
0.0000 0.0000 0.0000
0.1883 0.3117 0.0000
0.3117 0.8117 0.0000
0.5000 0.5000 0.0000
0.6883 0.1883 0.0000
0.8117 0.6883 0.0000
0.0000 0.5000 0.5000
0.0628 0.7686 0.5000
0.2314 0.0628 0.5000
0.2686 0.5628 0.5000
0.4372 0.2686 0.5000
0.5000 0.0000 0.5000
0.5628 0.7314 0.5000
0.7314 0.4372 0.5000
0.7686 0.9372 0.5000
0.9372 0.2314 0.5000
0.0986 0.5986 0.0000
0.4014 0.0986 0.0000
0.5986 0.9014 0.0000
0.9014 0.4014 0.0000
```

VASP energy (eV per atom): -1.57
Calculated volume (Å³ per atom): 41.3
Total moment (μB per cell): 0.0
Space group: P4/mbm (127)